## MnZn3B (PBE)

Data for crystalline MnZn3B at its relaxed geometry.

The energy relative to the lowest polymorph listed for this composition is 0 meV per atom. As for the symmetry: Pm-3m, No. 221. For the total magnetic moment, the calculation gives 3.9 μB/cell.

Cell lengths 4.142, 4.142, 4.142 Å; angles 90.00, 90.00, 90.00 degrees
Sites, in units of the cell vectors:
Mn 0.000 0.000 0.000
Zn 0.000 0.500 0.500
Zn 0.500 0.000 0.500
Zn 0.500 0.500 0.000
B 0.500 0.500 0.500